Entry 1:
NaFe2Br8 (GGA-PBE, relaxed); DOS at the Fermi energy = 0.19 states/eV/f.u.; formation energy (no corrections) = -0.608 eV/atom; total energy = -0.1280 hartree per atom
1.0
-5.2360 2.4526 3.3445
-5.8070 -2.7105 -5.0168
-1.3763 -6.5008 4.6991
Br Fe Na
8 2 1
Cartesian
-5.1881 -0.4602 2.1863 Br
-7.2313 -6.2985 0.8405 Br
-5.2305 -2.8087 5.6880 Br
-8.4327 -3.3845 2.5252 Br
-7.1889 -3.9500 -2.6611 Br
-3.9867 -3.3742 0.5017 Br
-4.2395 -6.4731 3.8066 Br
-8.1799 -0.2856 -0.7797 Br
-3.3176 -1.2064 1.0423 Fe
-9.1017 -5.5523 1.9846 Fe
0.0000 0.0000 0.0000 Na

=====

Entry 2:
AgBi6Ir (GGA-PBE, relaxed); DOS at the Fermi energy = 3.82 states/eV/f.u.; calculated formation energy = 52 kJ/mol of formula units; total energy = -0.1583 hartree per atom
1.0
8.1297 -0.0591 -2.8834
-4.0380 7.0739 -2.8397
0.0235 0.0969 8.7587
Bi Ir Ag
12 2 2
Cartesian
-1.2503 4.5744 4.7130 Bi
-1.9261 6.0371 0.1296 Bi
0.8632 3.5133 -0.9679 Bi
3.4075 1.1842 1.1573 Bi
2.1595 5.7357 -2.7810 Bi
1.9556 1.3760 5.8166 Bi
5.3654 2.5373 -1.6774 Bi
4.1812 4.7795 0.2243 Bi
6.0412 1.0746 2.9060 Bi
0.7076 5.9275 1.8783 Bi
-0.0661 2.3322 2.8113 Bi
3.2519 3.5984 4.0035 Bi
0.0117 0.0485 4.3794 Ir
2.0576 3.5559 1.5178 Ir
4.0648 -0.0296 -1.4417 Ag
-2.0190 3.5369 -1.4199 Ag

=====

Entry 3:
Ca3Ru3N5 (GGA-PBE, relaxed); DOS at the Fermi energy = 4.71 states/eV/f.u.; formation energy (no corrections) = -0.292 eV/atom; total energy = -0.2628 hartree per atom
1.0
5.9599 -0.0064 -0.0009
-0.6065 6.8955 -0.0087
-2.3661 -2.4497 7.6052
Ru N Ca
6 10 6
Cartesian
2.9767 -0.2226 7.4603 Ru
-1.4629 4.1732 5.4557 Ru
4.4501 0.2662 2.1399 Ru
2.2759 5.0943 4.2455 Ru
0.0105 4.6620 0.1353 Ru
0.7113 -0.6549 3.3502 Ru
-0.7885 5.7656 1.5032 N
3.7999 1.3756 0.6163 N
1.0582 2.9391 0.7799 N
3.7757 -1.3262 6.0925 N
-0.5181 0.8313 3.8222 N
0.2658 4.7596 4.6478 N
2.7214 -0.3203 2.9478 N
-0.8127 3.0637 6.9793 N
3.5053 3.6080 3.7734 N
1.9290 1.5002 6.8157 N
-0.0222 0.3453 6.1858 Ca
1.6483 0.5588 0.8840 Ca
-0.1466 3.0638 2.9044 Ca
3.0094 4.0940 1.4098 Ca
1.3390 3.8805 6.7116 Ca
3.1338 1.3756 4.6912 Ca

=====

Entry 4:
Rb2MnZnI6 (GGA-PBE, relaxed); DOS at the Fermi energy = 0.00 states/eV/f.u.; formation energy (no corrections) = -0.804 eV/atom; total energy = -0.1092 hartree per atom
1.0
-2.6292 2.2622 -7.6042
-3.6970 -7.4372 -0.9342
-7.9918 -0.4759 -1.9714
I Rb Mn Zn
6 2 1 1
Cartesian
-3.4177 -4.9004 -2.6787 I
-1.6546 -1.3535 -2.2332 I
-4.6716 -3.8216 -6.3053 I
-5.7833 -1.4417 -3.0224 I
-8.5347 -4.2092 -7.4875 I
-2.9085 -0.2746 -5.8597 I
-6.8920 -0.4006 -6.9224 Rb
-7.4260 -5.2503 -3.5874 Rb
-3.1631 -2.5875 -4.2692 Mn
0.0000 0.0000 0.0000 Zn